# Sm8AgPd2, optimized geometry, DFT PBE
# Density ... 8.03 Mg/m³
# Polymorph energy (0 for the lowest one) ... 0.000 eV per atom
# Electronic total energy ... -4.960 eV/atom
# Crystal system ... monoclinic
# ΔH_f (0 K) ... -0.32 eV per atom
data_Sm8AgPd2
_chemical_formula_sum 'Sm16 Ag2 Pd4'
_cell_length_a 18.444
_cell_length_b 5.231
_cell_length_c 6.879
_cell_angle_alpha 90.00
_cell_angle_beta 108.22
_cell_angle_gamma 90.00
_space_group_name_H-M_alt 'C 1 2/m 1'
_space_group_IT_number 12
_space_group_name_Hall '-C 2y'
loop_
_atom_site_label
_atom_site_type_symbol
_atom_site_fract_x
_atom_site_fract_y
_atom_site_fract_z
_atom_site_occupancy
Sm1 Sm 0.029 0.000 0.281 1
Sm2 Sm 0.094 0.500 0.976 1
Sm3 Sm 0.175 0.500 0.503 1
Sm4 Sm 0.201 0.000 0.841 1
Ag1 Ag 0.000 0.500 0.500 1
Pd1 Pd 0.173 0.000 0.235 1